# TaAlCrC2 | Alexandria | PBE | relaxed
data_TaAlCrC2
_cell_length_a 4.1036
_cell_length_b 4.1036
_cell_length_c 4.9374
_cell_angle_alpha 90.00
_cell_angle_beta 90.00
_cell_angle_gamma 90.00
_space_group_name_H-M_alt 'P 4/m m m'
_space_group_IT_number 123
_space_group_name_Hall '-P 4 2'
loop_
_atom_site_label
_atom_site_type_symbol
_atom_site_fract_x
_atom_site_fract_y
_atom_site_fract_z
_atom_site_occupancy
Ta1 Ta 0.0000 0.0000 0.0000 1
Al1 Al 0.5000 0.5000 0.5000 1
Cr1 Cr 0.0000 0.0000 0.5000 1
C1 C 0.0000 0.5000 0.0000 1
# * energy: -0.2512 Ha/atom
# * formation energy: 1.899 eV per atom


# AlCrTc2C | Alexandria | PBE | relaxed
data_AlCrTc2C
_cell_length_a 4.0767
_cell_length_b 4.0767
_cell_length_c 3.8970
_cell_angle_alpha 90.00
_cell_angle_beta 90.00
_cell_angle_gamma 90.00
_space_group_name_H-M_alt 'P 4/m m m'
_space_group_IT_number 123
_space_group_name_Hall '-P 4 2'
loop_
_atom_site_label
_atom_site_type_symbol
_atom_site_fract_x
_atom_site_fract_y
_atom_site_fract_z
_atom_site_occupancy
Al1 Al 0.0000 0.0000 0.0000 1
Cr1 Cr 0.5000 0.5000 0.0000 1
Tc1 Tc 0.0000 0.5000 0.5000 1
C1 C 0.5000 0.5000 0.5000 1
# * energy: -0.3202 Ha/atom
# * formation energy: -0.050 eV per atom


- Which of these has the highest formation energy?
  TaAlCrC2


Repeat the second record exactly.
# AlCrTc2C | Alexandria | PBE | relaxed
data_AlCrTc2C
_cell_length_a 4.0767
_cell_length_b 4.0767
_cell_length_c 3.8970
_cell_angle_alpha 90.00
_cell_angle_beta 90.00
_cell_angle_gamma 90.00
_space_group_name_H-M_alt 'P 4/m m m'
_space_group_IT_number 123
_space_group_name_Hall '-P 4 2'
loop_
_atom_site_label
_atom_site_type_symbol
_atom_site_fract_x
_atom_site_fract_y
_atom_site_fract_z
_atom_site_occupancy
Al1 Al 0.0000 0.0000 0.0000 1
Cr1 Cr 0.5000 0.5000 0.0000 1
Tc1 Tc 0.0000 0.5000 0.5000 1
C1 C 0.5000 0.5000 0.5000 1
# * energy: -0.3202 Ha/atom
# * formation energy: -0.050 eV per atom